Entry 1:
VASP calculation (PBE) on V6PC2 after structural relaxation.

## Properties
The volume is 111.88 Å³/f.u. The calculated total energy comes out at -8.993 eV/atom. The formation energy comes out at -0.2628 eV per atom.

Lattice parameters (Å, degrees): 9.979 4.070 6.756 90.00 125.37 90.00
Space group C2/m (No. 12)
Inequivalent atoms, fractional coordinates:
V: 0.048 0.000 0.216 (multiplicity 4)
V: 0.147 0.500 0.539 (multiplicity 4)
V: 0.211 0.500 0.101 (multiplicity 4)
P: 0.000 0.000 0.500 (multiplicity 2)
C: 0.185 0.000 0.086 (multiplicity 4)

***

Entry 2:
VASP calculation (PBE) on VPC after structural relaxation.

## Properties
The volume is 36.92 Å³/f.u. The calculated total energy comes out at -7.037 eV/atom. The formation energy comes out at 0.8803 eV per atom.

Lattice parameters (Å, degrees): 2.408 3.940 15.563 90.00 90.00 90.00
Space group Immm (No. 71)
Inequivalent atoms, fractional coordinates:
V: 0.000 0.000 0.189 (multiplicity 4)
P: 0.000 0.250 0.000 (multiplicity 4)
C: 0.000 0.000 0.316 (multiplicity 4)

***

Entry 3:
VASP calculation (PBE) on VP3C after structural relaxation.

## Properties
The value obtained for the energy above the most stable polymorph in this dataset is 620.6 meV/atom. The volume is 89.71 Å³/f.u. The calculated total energy comes out at -5.346 eV/atom. The formation energy comes out at 1.5688 eV per atom.

Lattice parameters (Å, degrees): 4.477 4.477 4.477 90.00 90.00 90.00
Space group Pm-3m (No. 221)
Inequivalent atoms, fractional coordinates:
V: 0.000 0.000 0.000 (multiplicity 1)
P: 0.000 0.000 0.500 (multiplicity 3)
C: 0.500 0.500 0.500 (multiplicity 1)

***

Entry 4:
VASP calculation (PBE) on V3PC after structural relaxation.

## Properties
The volume is 56.88 Å³/f.u. The calculated total energy comes out at -9.103 eV/atom. The formation energy comes out at -0.7053 eV per atom.

Lattice parameters (Å, degrees): 3.119 9.692 7.526 90.00 90.00 90.00
Space group Cmcm (No. 63)
Inequivalent atoms, fractional coordinates:
V: 0.000 0.065 0.250 (multiplicity 4)
V: 0.000 0.366 0.055 (multiplicity 8)
P: 0.000 0.253 0.750 (multiplicity 4)
C: 0.000 0.000 0.000 (multiplicity 4)

***

Entry 5:
VASP calculation (PBE) on VPC3 after structural relaxation.

## Properties
The value obtained for the energy above the most stable polymorph in this dataset is 396.5 meV/atom. The volume is 60.72 Å³/f.u. The calculated total energy comes out at -6.257 eV/atom. The formation energy comes out at 2.1834 eV per atom.

Lattice parameters (Å, degrees): 3.930 3.930 3.930 90.00 90.00 90.00
Space group Pm-3m (No. 221)
Inequivalent atoms, fractional coordinates:
V: 0.000 0.000 0.000 (multiplicity 1)
P: 0.500 0.500 0.500 (multiplicity 1)
C: 0.000 0.000 0.500 (multiplicity 3)

***

Entry 6:
VASP calculation (PBE) on V6P2C after structural relaxation.

## Properties
The value obtained for the energy above the most stable polymorph in this dataset is 0.0 meV/atom. The volume is 108.71 Å³/f.u. The calculated total energy comes out at -8.995 eV/atom. The formation energy comes out at -0.6894 eV per atom.

Lattice parameters (Å, degrees): 9.613 3.121 7.248 90.00 90.73 90.00
Space group C2/m (No. 12)
Inequivalent atoms, fractional coordinates:
V: 0.044 0.000 0.223 (multiplicity 4)
V: 0.132 0.500 0.549 (multiplicity 4)
V: 0.145 0.500 0.938 (multiplicity 4)
P: 0.242 0.500 0.251 (multiplicity 4)
C: 0.000 0.000 0.500 (multiplicity 2)

***

Repeat the third record exactly.
VASP calculation (PBE) on VP3C after structural relaxation.

## Properties
The value obtained for the energy above the most stable polymorph in this dataset is 620.6 meV/atom. The volume is 89.71 Å³/f.u. The calculated total energy comes out at -5.346 eV/atom. The formation energy comes out at 1.5688 eV per atom.

Lattice parameters (Å, degrees): 4.477 4.477 4.477 90.00 90.00 90.00
Space group Pm-3m (No. 221)
Inequivalent atoms, fractional coordinates:
V: 0.000 0.000 0.000 (multiplicity 1)
P: 0.000 0.000 0.500 (multiplicity 3)
C: 0.500 0.500 0.500 (multiplicity 1)

***

Question: The highest V belongs to which entry?
Answer: V6PC2

***

Repeat the fifth record exactly.
VASP calculation (PBE) on VPC3 after structural relaxation.

## Properties
The value obtained for the energy above the most stable polymorph in this dataset is 396.5 meV/atom. The volume is 60.72 Å³/f.u. The calculated total energy comes out at -6.257 eV/atom. The formation energy comes out at 2.1834 eV per atom.

Lattice parameters (Å, degrees): 3.930 3.930 3.930 90.00 90.00 90.00
Space group Pm-3m (No. 221)
Inequivalent atoms, fractional coordinates:
V: 0.000 0.000 0.000 (multiplicity 1)
P: 0.500 0.500 0.500 (multiplicity 1)
C: 0.000 0.000 0.500 (multiplicity 3)